[1]
The following is a DFT calculation (PBE) of a relaxed structure of YHo2.

Unit cell a=6.540 b=6.540 c=6.540 alpha=60.00 beta=60.00 gamma=60.00
Sites, in units of the cell vectors:
Y1 0.125 0.125 0.125
Y2 0.875 0.875 0.875
Ho1 0.000 0.500 0.500
Ho2 0.500 0.000 0.500
Ho3 0.500 0.500 0.000
Ho4 0.500 0.500 0.500

Calculated values
Energy above the lowest structure with this stoichiometry in meV/atom: 234

---

[2]
The following is a DFT calculation (PBE) of a relaxed structure of YHo8.

Unit cell a=7.896 b=7.896 c=7.896 alpha=95.72 beta=95.72 gamma=143.20
Sites, in units of the cell vectors:
Y1 0.000 0.000 0.000
Ho1 0.000 0.334 0.334
Ho2 0.000 0.666 0.666
Ho3 0.333 0.333 0.665
Ho4 0.333 0.667 0.000
Ho5 0.334 0.000 0.334
Ho6 0.666 0.000 0.666
Ho7 0.667 0.333 0.000
Ho8 0.667 0.667 0.335

---

[3]
The following is a DFT calculation (PBE) of a relaxed structure of Y5Ho7.

Unit cell a=9.418 b=9.418 c=13.038 alpha=117.70 beta=117.70 gamma=21.78
Sites, in units of the cell vectors:
Y1 0.000 0.000 0.000
Y2 0.166 0.166 0.499
Y3 0.305 0.305 0.249
Y4 0.695 0.695 0.751
Y5 0.834 0.834 0.501
Ho1 0.027 0.027 0.750
Ho2 0.334 0.334 0.001
Ho3 0.361 0.361 0.751
Ho4 0.500 0.500 0.500
Ho5 0.639 0.639 0.249
Ho6 0.666 0.666 0.999
Ho7 0.973 0.973 0.250

Calculated values
Energy above the lowest structure with this stoichiometry in meV/atom: 0

---

[4]
The following is a DFT calculation (PBE) of a relaxed structure of YHo.

Unit cell a=6.768 b=6.768 c=5.873 alpha=90.00 beta=90.00 gamma=150.57
Sites, in units of the cell vectors:
Y1 0.206 0.794 0.750
Y2 0.794 0.206 0.250
Ho1 0.061 0.939 0.250
Ho2 0.939 0.061 0.750

Calculated values
Energy above the lowest structure with this stoichiometry in meV/atom: 248

---

[5]
The following is a DFT calculation (PBE) of a relaxed structure of Y2Ho13.

Unit cell a=9.471 b=9.471 c=9.471 alpha=55.06 beta=55.06 gamma=55.06
Sites, in units of the cell vectors:
Y1 0.244 0.244 0.244
Y2 0.756 0.756 0.756
Ho1 0.012 0.012 0.650
Ho2 0.012 0.650 0.012
Ho3 0.241 0.241 0.611
Ho4 0.241 0.611 0.241
Ho5 0.350 0.988 0.988
Ho6 0.389 0.759 0.759
Ho7 0.500 0.500 0.500
Ho8 0.611 0.241 0.241
Ho9 0.650 0.012 0.012
Ho10 0.759 0.389 0.759
Ho11 0.759 0.759 0.389
Ho12 0.988 0.350 0.988
Ho13 0.988 0.988 0.350

Calculated values
Energy above the lowest structure with this stoichiometry in meV/atom: 530

---

[6]
The following is a DFT calculation (PBE) of a relaxed structure of YHo.

Unit cell a=3.622 b=3.622 c=5.641 alpha=90.00 beta=90.00 gamma=120.00
Sites, in units of the cell vectors:
Y1 0.000 0.000 0.000
Ho1 0.333 0.667 0.500

Calculated values
Energy above the lowest structure with this stoichiometry in meV/atom: 4

---

[7]
The following is a DFT calculation (PBE) of a relaxed structure of Y7Ho5.

Unit cell a=5.602 b=5.602 c=14.656 alpha=101.09 beta=101.09 gamma=60.46
Sites, in units of the cell vectors:
Y1 0.000 0.000 0.000
Y2 0.190 0.190 0.578
Y3 0.271 0.271 0.828
Y4 0.437 0.437 0.287
Y5 0.563 0.563 0.713
Y6 0.729 0.729 0.172
Y7 0.810 0.810 0.422
Ho1 0.109 0.109 0.307
Ho2 0.355 0.355 0.060
Ho3 0.500 0.500 0.500
Ho4 0.645 0.645 0.940
Ho5 0.891 0.891 0.693

Calculated values
Energy above the lowest structure with this stoichiometry in meV/atom: 188

---

[8]
The following is a DFT calculation (PBE) of a relaxed structure of Y5Ho4.

Unit cell a=7.943 b=7.943 c=7.943 alpha=95.71 beta=95.71 gamma=143.21
Sites, in units of the cell vectors:
Y1 0.000 0.000 0.000
Y2 0.333 0.333 0.666
Y3 0.333 0.667 0.000
Y4 0.667 0.333 0.000
Y5 0.667 0.667 0.334
Ho1 0.000 0.335 0.335
Ho2 0.000 0.665 0.665
Ho3 0.335 0.000 0.335
Ho4 0.665 0.000 0.665

---

[9]
The following is a DFT calculation (PBE) of a relaxed structure of YHo.

Unit cell a=4.008 b=4.008 c=4.008 alpha=90.00 beta=90.00 gamma=90.00
Sites, in units of the cell vectors:
Y1 0.000 0.000 0.000
Ho1 0.500 0.500 0.500

Calculated values
Energy above the lowest structure with this stoichiometry in meV/atom: 132

---

[10]
The following is a DFT calculation (PBE) of a relaxed structure of Y3Ho13.

Unit cell a=9.979 b=7.068 c=7.068 alpha=90.00 beta=90.00 gamma=90.00
Sites, in units of the cell vectors:
Y1 0.000 0.000 0.000
Y2 0.250 0.251 0.251
Y3 0.750 0.251 0.251
Ho1 0.000 0.000 0.502
Ho2 0.000 0.501 0.501
Ho3 0.000 0.502 0.000
Ho4 0.250 0.251 0.750
Ho5 0.250 0.750 0.251
Ho6 0.250 0.750 0.750
Ho7 0.500 0.000 0.000
Ho8 0.500 0.000 0.501
Ho9 0.500 0.501 0.000
Ho10 0.500 0.502 0.502
Ho11 0.750 0.251 0.750
Ho12 0.750 0.750 0.251
Ho13 0.750 0.750 0.750

Calculated values
Energy above the lowest structure with this stoichiometry in meV/atom: 16

---

[11]
The following is a DFT calculation (PBE) of a relaxed structure of Y2Ho17.

Unit cell a=8.672 b=8.672 c=8.672 alpha=79.52 beta=79.52 gamma=79.52
Sites, in units of the cell vectors:
Y1 0.178 0.178 0.178
Y2 0.822 0.822 0.822
Ho1 0.000 0.500 0.500
Ho2 0.130 0.130 0.648
Ho3 0.130 0.648 0.130
Ho4 0.201 0.500 0.799
Ho5 0.201 0.799 0.500
Ho6 0.352 0.870 0.870
Ho7 0.404 0.404 0.404
Ho8 0.500 0.000 0.500
Ho9 0.500 0.201 0.799
Ho10 0.500 0.500 0.000
Ho11 0.500 0.799 0.201
Ho12 0.596 0.596 0.596
Ho13 0.648 0.130 0.130
Ho14 0.799 0.201 0.500
Ho15 0.799 0.500 0.201
Ho16 0.870 0.352 0.870
Ho17 0.870 0.870 0.352

---

[12]
The following is a DFT calculation (PBE) of a relaxed structure of Y6Ho5.

Unit cell a=7.919 b=7.919 c=6.283 alpha=100.05 beta=100.05 gamma=108.97
Sites, in units of the cell vectors:
Y1 0.046 0.316 0.667
Y2 0.169 0.169 0.181
Y3 0.316 0.046 0.667
Y4 0.684 0.954 0.333
Y5 0.831 0.831 0.819
Y6 0.954 0.684 0.333
Ho1 0.241 0.759 0.000
Ho2 0.373 0.627 0.500
Ho3 0.500 0.500 0.000
Ho4 0.627 0.373 0.500
Ho5 0.759 0.241 0.000

---

Number 1: energy of formation from the pure elements 0.24 eV/atom. Number 2: energy of formation from the pure elements 0.02 eV/atom. Number 3: energy of formation from the pure elements 0.01 eV/atom. Number 4: energy of formation from the pure elements 0.25 eV/atom. Number 5: energy of formation from the pure elements 0.60 eV/atom. Number 6: energy of formation from the pure elements 0.01 eV/atom. Number 7: energy of formation from the pure elements 0.20 eV/atom. Number 8: energy of formation from the pure elements 0.02 eV/atom. Number 9: energy of formation from the pure elements 0.13 eV/atom. Number 10: energy of formation from the pure elements 0.02 eV/atom. Number 11: energy of formation from the pure elements 0.28 eV/atom. Number 12: energy of formation from the pure elements 0.14 eV/atom.